The following is a DFT calculation (PBE) of a geometry-optimized Tb5YHg4 structure.

Summary:
As for the calculated formation energy: -373 meV/atom. As for the crystal system: tetragonal. As for the volume: 27.53 Å³ per atom. Its magnetic moment is 0.49 μB/f.u.

abc: 3.7027 3.7027 20.0804
angles: 90.00 90.00 90.00
Each line ends with the local moment (μB).
Sites, in units of the cell vectors:
Hg1 0.0000 0.0000 0.5945  0.01
Hg2 0.0000 0.0000 0.2152  0.00
Hg3 0.0000 0.0000 0.4055  0.01
Hg4 0.0000 0.0000 0.7848  0.00
Tb1 0.5000 0.5000 0.8770  0.01
Tb2 0.5000 0.5000 0.1230  0.01
Tb3 0.5000 0.5000 0.3120  0.08
Tb4 0.5000 0.5000 0.6880  0.08
Tb5 0.5000 0.5000 0.5000  0.12
Y1 0.0000 0.0000 0.0000  0.00


The following is a DFT calculation (PBE) of a geometry-optimized InIr structure.

Summary:
As for the calculated formation energy: 575 meV/atom. As for the crystal system: cubic. As for the volume: 33.56 Å³ per atom. Its magnetic moment is 0.05 μB/f.u.

abc: 8.1279 8.1279 8.1279
angles: 90.00 90.00 90.00
Sites, in units of the cell vectors:
Ir1 0.8863 0.1137 0.1137
Ir2 0.1137 0.8863 0.1137
Ir3 0.3863 0.6137 0.6137
Ir4 0.3863 0.3863 0.3863
Ir5 0.6137 0.3863 0.6137
Ir6 0.1137 0.1137 0.8863
Ir7 0.6137 0.6137 0.3863
Ir8 0.8863 0.8863 0.8863
In1 0.2023 0.7977 0.7977
In2 0.7977 0.7977 0.2023
In3 0.7977 0.2023 0.7977
In4 0.7023 0.2977 0.2977
In5 0.2977 0.2977 0.7023
In6 0.2977 0.7023 0.2977
In7 0.2023 0.2023 0.2023
In8 0.7023 0.7023 0.7023


The following is a DFT calculation (PBE) of a geometry-optimized AlOs2Pt structure.

Summary:
As for the calculated formation energy: -182 meV/atom. As for the crystal system: trigonal. As for the volume: 14.58 Å³ per atom. Its magnetic moment is 0.00 μB/f.u.

abc: 8.8290 8.8290 8.8290
angles: 18.15 18.15 18.15
Sites, in units of the cell vectors:
Pt1 0.4957 0.4957 0.4957
Os1 0.0012 0.0012 0.0012
Os2 0.2535 0.2535 0.2535
Al1 0.7495 0.7495 0.7495


The following is a DFT calculation (PBE) of a geometry-optimized HfBeTlPb2 structure.

Summary:
As for the calculated formation energy: 720 meV/atom. As for the crystal system: tetragonal. As for the volume: 25.35 Å³ per atom. Its magnetic moment is 0.00 μB/f.u.

abc: 5.1233 4.8293 5.1233
angles: 90.00 90.00 90.00
Sites, in units of the cell vectors:
Pb1 0.0000 0.0000 0.5000
Pb2 0.5000 0.0000 0.0000
Tl1 0.0000 0.5000 0.0000
Hf1 0.5000 0.5000 0.5000
Be1 0.0000 0.0000 0.0000